Sr6Pb2N (PBE, optimized geometry); energy relative to the lowest polymorph listed for this composition = 0 meV per atom; ΔE_f (raw) = -13.30 kcal/mol of atoms; volume = 307.9 Å³ per cell; spin magnetization = 0.110 μB per atom
1.0
0.0000 5.3596 5.3596
5.3596 0.0000 5.3596
5.3596 5.3596 0.0000
Sr Pb N
6 2 1
Direct
0.2386 0.2386 0.7614
0.2386 0.7614 0.2386
0.2386 0.7614 0.7614
0.7614 0.2386 0.2386
0.7614 0.2386 0.7614
0.7614 0.7614 0.2386
0.2500 0.2500 0.2500
0.7500 0.7500 0.7500
0.0000 0.0000 0.0000


Sr2PbN (PBE, optimized geometry); ΔE_f (raw) = -5.43 kcal/mol of atoms; volume = 255.3 Å³ per cell; spin magnetization = 0.000 μB per atom
1.0
-3.7994 3.7994 4.4207
3.7994 -3.7994 4.4207
3.7994 3.7994 -4.4207
Sr Pb N
4 2 2
Direct
0.0135 0.6250 0.8885
0.3750 0.2635 0.3885
0.7365 0.1250 0.1115
0.8750 0.9865 0.6115
0.2500 0.7500 0.5000
0.5000 0.5000 0.0000
0.0000 0.0000 0.0000
0.7500 0.2500 0.5000


Sr7PbN2 (PBE, optimized geometry); ΔE_f (raw) = -5.86 kcal/mol of atoms; volume = 360.1 Å³ per cell; spin magnetization = 0.138 μB per atom
1.0
5.4003 -6.5611 0.0000
5.4003 6.5611 0.0000
0.0000 0.0000 5.0809
Sr Pb N
7 1 2
Direct
0.0000 0.0000 0.0000
0.2011 0.4833 0.0000
0.2006 0.7994 0.5000
0.4833 0.2011 0.0000
0.5167 0.7989 0.0000
0.7994 0.2006 0.5000
0.7989 0.5167 0.0000
0.5000 0.5000 0.5000
0.2197 0.7803 0.0000
0.7803 0.2197 0.0000


Sr4Pb2N (PBE, optimized geometry); energy relative to the lowest polymorph listed for this composition = 150 meV per atom; ΔE_f (raw) = -7.39 kcal/mol of atoms; volume = 269.0 Å³ per cell; spin magnetization = 0.013 μB per atom
1.0
2.7783 -13.2591 0.0000
2.7783 13.2591 0.0000
0.0000 0.0000 3.6510
Sr Pb N
4 2 1
Direct
0.0609 0.9391 0.0000
0.2028 0.7972 0.5000
0.7972 0.2028 0.5000
0.9391 0.0609 0.0000
0.3334 0.6666 0.0000
0.6666 0.3334 0.0000
0.0000 0.0000 0.5000


Sr2PbN (PBE, optimized geometry); ΔE_f (raw) = 8.83 kcal/mol of atoms; volume = 112.3 Å³ per cell; spin magnetization = 0.000 μB per atom
1.0
0.0000 3.8287 3.8287
3.8287 0.0000 3.8287
3.8287 3.8287 0.0000
Sr Pb N
2 1 1
Direct
0.2500 0.2500 0.2500
0.7500 0.7500 0.7500
0.0000 0.0000 0.0000
0.5000 0.5000 0.5000


Sr2PbN (PBE, optimized geometry); ΔE_f (raw) = -9.43 kcal/mol of atoms; volume = 120.6 Å³ per cell; spin magnetization = 0.000 μB per atom
1.0
1.8909 1.0917 9.7375
-1.8909 1.0917 9.7375
0.0000 -2.1834 9.7375
Sr Pb N
2 1 1
Direct
0.1193 0.1193 0.1193
0.8807 0.8807 0.8807
0.0000 0.0000 0.0000
0.5000 0.5000 0.5000


Sr4Pb2N (PBE, optimized geometry); energy relative to the lowest polymorph listed for this composition = 0 meV per atom; ΔE_f (raw) = -10.86 kcal/mol of atoms; volume = 237.0 Å³ per cell; spin magnetization = 0.000 μB per atom
1.0
-2.6953 2.6953 8.1557
2.6953 -2.6953 8.1557
2.6953 2.6953 -8.1557
Sr Pb N
4 2 1
Direct
0.0000 0.5000 0.5000
0.1576 0.1576 0.0000
0.5000 0.0000 0.5000
0.8424 0.8424 0.0000
0.3697 0.3697 0.0000
0.6303 0.6303 0.0000
0.0000 0.0000 0.0000


SrPbN2 (PBE, optimized geometry); ΔE_f (raw) = 2.30 kcal/mol of atoms; volume = 153.0 Å³ per cell; spin magnetization = 0.000 μB per atom
1.0
-3.0540 3.0540 4.1002
3.0540 -3.0540 4.1002
3.0540 3.0540 -4.1002
Sr Pb N
2 2 4
Direct
0.0000 0.0000 0.0000
0.7500 0.2500 0.5000
0.2500 0.7500 0.5000
0.5000 0.5000 0.0000
0.1714 0.1250 0.5464
0.3750 0.8286 0.9536
0.5786 0.6250 0.4536
0.8750 0.4214 0.0464


SrPbN3 (PBE, optimized geometry); ΔE_f (raw) = 41.18 kcal/mol of atoms; volume = 104.3 Å³ per cell; spin magnetization = 1.000 μB per atom
1.0
4.7067 0.0000 0.0000
0.0000 4.7067 0.0000
0.0000 0.0000 4.7067
Sr Pb N
1 1 3
Direct
0.0000 0.0000 0.0000
0.5000 0.5000 0.5000
0.0000 0.0000 0.5000
0.0000 0.5000 0.0000
0.5000 0.0000 0.0000


SrPbN3 (PBE, optimized geometry); ΔE_f (raw) = 25.74 kcal/mol of atoms; volume = 84.1 Å³ per cell; spin magnetization = 0.600 μB per atom
1.0
4.3810 0.0000 0.0000
0.0000 4.3810 0.0000
0.0000 0.0000 4.3810
Sr Pb N
1 1 3
Direct
0.0000 0.0000 0.0000
0.5000 0.5000 0.5000
0.0000 0.5000 0.5000
0.5000 0.0000 0.5000
0.5000 0.5000 0.0000


Please write out number 7 again, unchanged.
Sr4Pb2N (PBE, optimized geometry); energy relative to the lowest polymorph listed for this composition = 0 meV per atom; ΔE_f (raw) = -10.86 kcal/mol of atoms; volume = 237.0 Å³ per cell; spin magnetization = 0.000 μB per atom
1.0
-2.6953 2.6953 8.1557
2.6953 -2.6953 8.1557
2.6953 2.6953 -8.1557
Sr Pb N
4 2 1
Direct
0.0000 0.5000 0.5000
0.1576 0.1576 0.0000
0.5000 0.0000 0.5000
0.8424 0.8424 0.0000
0.3697 0.3697 0.0000
0.6303 0.6303 0.0000
0.0000 0.0000 0.0000